[1]
An optimized crystal structure of Ba3Li2PaO8, computed with PBE.

POSCAR file:
```
Ba3Li2PaO8
1.0
5.984 0.000 0.000
-2.992 5.182 0.000
0.000 0.000 7.692
Ba Li Pa O
3 2 1 8
Direct
0.000 0.000 0.000 Ba
0.333 0.667 0.653 Ba
0.667 0.333 0.347 Ba
0.333 0.667 0.226 Li
0.667 0.333 0.774 Li
0.000 0.000 0.500 Pa
0.163 0.326 0.332 O
0.163 0.837 0.332 O
0.326 0.163 0.668 O
0.333 0.667 0.985 O
0.667 0.333 0.015 O
0.674 0.837 0.332 O
0.837 0.163 0.668 O
0.837 0.674 0.668 O
```

Formation energy from raw total energies = -2297 meV per atom
Magnetization = 3.0 μB/f.u.
Space-group type = P-3m1 (164)
Energy = -6.494 eV per atom
Volume = 238.5 Å³/cell

[2]
An optimized crystal structure of Ba3LiPa2O9, computed with PBE.

POSCAR file:
```
Ba3LiPa2O9
1.0
6.165 0.000 0.000
-3.082 5.339 0.000
0.000 0.000 7.593
Ba Li Pa O
3 1 2 9
Direct
0.000 0.000 0.000 Ba
0.333 0.667 0.645 Ba
0.667 0.333 0.355 Ba
0.000 0.000 0.500 Li
0.333 0.667 0.177 Pa
0.667 0.333 0.823 Pa
0.000 0.500 0.000 O
0.170 0.341 0.330 O
0.170 0.830 0.330 O
0.341 0.170 0.670 O
0.500 0.000 0.000 O
0.500 0.500 0.000 O
0.659 0.830 0.330 O
0.830 0.170 0.670 O
0.830 0.659 0.670 O
```

Formation energy from raw total energies = -2975 meV per atom
Magnetization = 0.0 μB/f.u.
Space-group type = P-3m1 (164)
Energy = -7.728 eV per atom
Volume = 249.9 Å³/cell

[3]
An optimized crystal structure of Ba2Li2PaO7, computed with PBE.

POSCAR file:
```
Ba2Li2PaO7
1.0
2.786 -2.748 0.000
2.786 2.748 0.000
-1.934 0.000 10.555
Ba Li Pa O
2 2 1 7
Direct
0.200 0.200 0.358 Ba
0.800 0.800 0.642 Ba
0.372 0.372 0.809 Li
0.628 0.628 0.191 Li
0.000 0.000 0.000 Pa
0.115 0.627 0.136 O
0.290 0.290 0.615 O
0.373 0.885 0.864 O
0.500 0.500 0.000 O
0.627 0.115 0.136 O
0.710 0.710 0.385 O
0.885 0.373 0.864 O
```

Formation energy from raw total energies = -2168 meV per atom
Magnetization = 1.9 μB/f.u.
Space-group type = C2/m (12)
Energy = -6.491 eV per atom
Volume = 161.6 Å³/cell

[4]
An optimized crystal structure of BaLi3Pa4O12, computed with PBE.

POSCAR file:
```
BaLi3Pa4O12
1.0
-4.178 4.178 4.178
4.178 -4.178 4.178
4.178 4.178 -4.178
Ba Li Pa O
1 3 4 12
Direct
0.000 0.000 0.000 Ba
0.000 0.500 0.500 Li
0.500 0.000 0.500 Li
0.500 0.500 0.000 Li
0.000 0.000 0.500 Pa
0.000 0.500 0.000 Pa
0.500 0.000 0.000 Pa
0.500 0.500 0.500 Pa
0.123 0.822 0.301 O
0.178 0.301 0.479 O
0.178 0.699 0.877 O
0.301 0.123 0.822 O
0.301 0.479 0.178 O
0.479 0.178 0.301 O
0.521 0.822 0.699 O
0.699 0.521 0.822 O
0.699 0.877 0.178 O
0.822 0.301 0.123 O
0.822 0.699 0.521 O
0.877 0.178 0.699 O
```

Formation energy from raw total energies = -3143 meV per atom
Magnetization = 1.0 μB/f.u.
Space-group type = Im-3 (204)
Energy = -8.401 eV per atom
Volume = 291.7 Å³/cell

[5]
An optimized crystal structure of Ba2LiPaO6, computed with PBE.

POSCAR file:
```
Ba2LiPaO6
1.0
4.319 0.000 0.000
0.000 4.319 0.000
0.000 0.000 8.735
Ba Li Pa O
2 1 1 6
Direct
0.000 0.000 0.209 Ba
0.000 0.000 0.791 Ba
0.500 0.500 0.000 Li
0.500 0.500 0.500 Pa
0.000 0.500 0.000 O
0.000 0.500 0.500 O
0.500 0.000 0.000 O
0.500 0.000 0.500 O
0.500 0.500 0.261 O
0.500 0.500 0.739 O
```

Formation energy from raw total energies = -2543 meV per atom
Magnetization = 2.0 μB/f.u.
Space-group type = P4/mmm (123)
Energy = -7.043 eV per atom
Volume = 162.9 Å³/cell

[6]
An optimized crystal structure of Ba4LiPa3O12, computed with PBE.

POSCAR file:
```
Ba4LiPa3O12
1.0
-4.435 4.435 4.435
4.435 -4.435 4.435
4.435 4.435 -4.435
Ba Li Pa O
4 1 3 12
Direct
0.000 0.000 0.500 Ba
0.000 0.500 0.000 Ba
0.500 0.000 0.000 Ba
0.500 0.500 0.500 Ba
0.000 0.000 0.000 Li
0.000 0.500 0.500 Pa
0.500 0.000 0.500 Pa
0.500 0.500 0.000 Pa
0.000 0.266 0.266 O
0.000 0.734 0.734 O
0.250 0.500 0.750 O
0.250 0.750 0.500 O
0.266 0.000 0.266 O
0.266 0.266 0.000 O
0.500 0.250 0.750 O
0.500 0.750 0.250 O
0.734 0.000 0.734 O
0.734 0.734 0.000 O
0.750 0.250 0.500 O
0.750 0.500 0.250 O
```

Formation energy from raw total energies = -3181 meV per atom
Magnetization = 0.0 μB/f.u.
Space-group type = Im-3m (229)
Energy = -8.060 eV per atom
Volume = 349.0 Å³/cell

[7]
An optimized crystal structure of BaLiPa2O7, computed with PBE.

POSCAR file:
```
BaLiPa2O7
1.0
-2.192 2.192 9.389
2.192 -2.192 9.389
2.192 2.192 -9.389
Ba Li Pa O
1 1 2 7
Direct
0.000 0.000 0.000 Ba
0.750 0.250 0.500 Li
0.380 0.380 0.000 Pa
0.620 0.620 0.000 Pa
0.098 0.598 0.500 O
0.275 0.275 0.000 O
0.402 0.902 0.500 O
0.500 0.500 0.000 O
0.610 0.110 0.500 O
0.725 0.725 0.000 O
0.890 0.390 0.500 O
```

Formation energy from raw total energies = -2985 meV per atom
Magnetization = 0.2 μB/f.u.
Space-group type = I-4m2 (119)
Energy = -8.215 eV per atom
Volume = 180.4 Å³/cell

[8]
An optimized crystal structure of Ba3Li2PaO6, computed with PBE.

POSCAR file:
```
Ba3Li2PaO6
1.0
6.124 0.000 0.000
-3.062 5.304 0.000
0.000 0.000 7.172
Ba Li Pa O
3 2 1 6
Direct
0.000 0.000 0.000 Ba
0.333 0.667 0.640 Ba
0.667 0.333 0.360 Ba
0.333 0.667 0.223 Li
0.667 0.333 0.777 Li
0.000 0.000 0.500 Pa
0.166 0.331 0.318 O
0.166 0.834 0.318 O
0.331 0.166 0.682 O
0.669 0.834 0.318 O
0.834 0.166 0.682 O
0.834 0.669 0.682 O
```

Formation energy from raw total energies = -2627 meV per atom
Magnetization = 0.4 μB/f.u.
Space-group type = P-3m1 (164)
Energy = -6.697 eV per atom
Volume = 232.9 Å³/cell

[9]
An optimized crystal structure of Ba2LiPbO, computed with PBE.

POSCAR file:
```
Ba2LiPbO
1.0
5.848 0.000 0.000
0.000 5.848 0.000
0.000 0.000 4.180
Ba Li Pb O
2 1 1 1
Direct
0.000 0.500 0.000 Ba
0.500 0.000 0.000 Ba
0.000 0.000 0.500 Li
0.500 0.500 0.500 Pb
0.000 0.000 0.000 O
```

Formation energy from raw total energies = -1192 meV per atom
Magnetization = 0.0 μB/f.u.
Space-group type = P4/mmm (123)
Energy = -4.077 eV per atom
Volume = 142.9 Å³/cell

[10]
An optimized crystal structure of BaLiPbO3, computed with PBE.

POSCAR file:
```
BaLiPbO3
1.0
7.527 0.000 0.000
0.000 3.619 0.000
-1.776 0.000 7.323
Ba Li Pb O
2 2 2 6
Direct
0.191 0.250 0.233 Ba
0.809 0.750 0.767 Ba
0.086 0.250 0.594 Li
0.914 0.750 0.406 Li
0.331 0.750 0.827 Pb
0.669 0.250 0.173 Pb
0.120 0.250 0.858 O
0.173 0.750 0.519 O
0.442 0.750 0.155 O
0.558 0.250 0.845 O
0.827 0.250 0.481 O
0.880 0.750 0.142 O
```

Formation energy from raw total energies = -1678 meV per atom
Magnetization = 0.0 μB/f.u.
Space-group type = P2_1/m (11)
Energy = -5.414 eV per atom
Volume = 199.5 Å³/cell

[11]
An optimized crystal structure of Ba3LiPd2O6, computed with PBE.

POSCAR file:
```
Ba3LiPd2O6
1.0
5.992 0.000 0.000
-2.996 5.189 0.000
0.000 0.000 6.920
Ba Li Pd O
3 1 2 6
Direct
0.000 0.000 0.000 Ba
0.333 0.667 0.638 Ba
0.667 0.333 0.362 Ba
0.000 0.000 0.500 Li
0.333 0.667 0.176 Pd
0.667 0.333 0.824 Pd
0.162 0.325 0.303 O
0.162 0.838 0.303 O
0.325 0.162 0.697 O
0.675 0.838 0.303 O
0.838 0.162 0.697 O
0.838 0.675 0.697 O
```

Formation energy from raw total energies = -1393 meV per atom
Magnetization = 0.0 μB/f.u.
Space-group type = P-3m1 (164)
Energy = -5.377 eV per atom
Volume = 215.1 Å³/cell

[12]
An optimized crystal structure of Ba2LiPdO4, computed with PBE.

POSCAR file:
```
Ba2LiPdO4
1.0
0.000 6.107 9.147
2.462 0.000 9.147
2.462 6.107 0.000
Ba Li Pd O
4 2 2 8
Direct
0.049 0.049 0.701 Ba
0.299 0.299 0.951 Ba
0.701 0.701 0.049 Ba
0.951 0.951 0.299 Ba
0.125 0.125 0.125 Li
0.875 0.875 0.875 Li
0.375 0.375 0.375 Pd
0.625 0.625 0.625 Pd
0.037 0.281 0.449 O
0.267 0.551 0.719 O
0.281 0.037 0.733 O
0.449 0.733 0.037 O
0.551 0.267 0.963 O
0.719 0.963 0.267 O
0.733 0.449 0.281 O
0.963 0.719 0.551 O
```

Formation energy from raw total energies = -1563 meV per atom
Magnetization = 0.0 μB/f.u.
Space-group type = Fddd (70)
Energy = -5.412 eV per atom
Volume = 275.1 Å³/cell